(1)
Density functional theory data (PBE-GGA) for a relaxed TmCoSn4 crystal.

Cell: 4.374 4.379 14.497 Å, 90.00 98.68 90.00°
Fractional positions:
Tm (0.807, 0.500, 0.614)
Tm (0.193, 0.500, 0.386)
Co (0.551, 0.000, 0.101)
Co (0.449, 0.000, 0.899)
Sn (0.609, 0.500, 0.217)
Sn (0.391, 0.500, 0.783)
Sn (0.714, 0.000, 0.429)
Sn (0.286, 0.000, 0.571)
Sn (0.891, 0.000, 0.783)
Sn (0.109, 0.000, 0.217)
Sn (0.000, 0.000, 0.000)
Sn (0.500, 0.500, 0.000)

Properties
polymorph energy (0 for the lowest one) = 0 kJ/mol of formula units
energy relative to the elements = -1.72 eV/f.u.
calculated volume = 22.88 A^3/atom

---

(2)
Density functional theory data (PBE-GGA) for a relaxed ZrSnOs2O crystal.

Cell: 4.822 5.456 4.822 Å, 90.00 90.00 90.00°
Site moments in Bohr magnetons follow the coordinates.
Fractional positions:
O (0.500, 0.500, 0.500)  0.86
Os (0.000, 0.000, 0.500)  1.20
Os (0.500, 0.000, 0.000)  1.24
Sn (0.000, 0.000, 0.000)  -0.01
Zr (0.000, 0.500, 0.000)  -0.46

Properties
raw formation energy = 2.3800 eV/atom
calculated volume = 25.37 A^3/atom

---

(3)
Density functional theory data (PBE-GGA) for a relaxed BaZrP2Cl crystal.

Cell: 5.495 5.495 5.475 Å, 90.00 90.00 90.00°
Site moments in Bohr magnetons follow the coordinates.
Fractional positions:
P (0.000, 0.500, 0.000)  -0.06
P (0.500, 0.000, 0.000)  -0.06
Ba (0.000, 0.000, 0.000)  0.01
Zr (0.500, 0.500, 0.500)  1.22
Cl (0.000, 0.000, 0.500)  -0.01

Properties
polymorph energy (0 for the lowest one) = 926 kJ/mol of formula units
raw formation energy = 0.8141 eV/atom
calculated volume = 33.07 A^3/atom

---

(4)
Density functional theory data (PBE-GGA) for a relaxed KRb2Cd12Ag3 crystal.

Cell: 10.010 10.010 10.010 Å, 58.12 58.12 58.12°
Fractional positions:
K (0.000, 0.000, 0.000)
Rb (0.598, 0.598, 0.598)
Rb (0.402, 0.402, 0.402)
Cd (0.327, 0.327, 0.847)
Cd (0.834, 0.834, 0.515)
Cd (0.515, 0.834, 0.834)
Cd (0.847, 0.327, 0.327)
Cd (0.834, 0.515, 0.834)
Cd (0.327, 0.847, 0.327)
Cd (0.673, 0.673, 0.153)
Cd (0.166, 0.166, 0.485)
Cd (0.485, 0.166, 0.166)
Cd (0.153, 0.673, 0.673)
Cd (0.166, 0.485, 0.166)
Cd (0.673, 0.153, 0.673)
Ag (0.500, 0.000, 0.000)
Ag (0.000, 0.500, 0.000)
Ag (0.000, 0.000, 0.500)

Properties
energy relative to the elements = 2.48 eV/f.u.
calculated volume = 37.71 A^3/atom